Density functional theory data (PBE-GGA) for a relaxed Li12Mg5Tl2 crystal.

a b c (Å): 8.0486 8.0486 6.8792
angles (deg): 90.45 90.45 61.36
With the nearest neighbours (Å) after each atom.
Atoms (fractional coordinates):
Li  0.0500  0.0500  0.3182  2 Tl 2.87, 7 Li 2.87-3.04, 2 Mg 3.00
Li  0.0912  0.6707  0.3448  1 Tl 2.90, 5 Li 2.92-3.15, 4 Mg 2.98-3.08
Li  0.1459  0.5351  0.7619  1 Tl 2.85, 4 Mg 2.94-3.18, 4 Li 2.96-3.15
Li  0.3293  0.9088  0.6552  1 Tl 2.90, 5 Li 2.92-3.15, 4 Mg 2.98-3.08
Li  0.4015  0.4015  0.1038  2 Tl 2.84, 5 Li 2.92-3.09, 3 Mg 3.04-3.07
Li  0.4649  0.8541  0.2381  1 Tl 2.85, 4 Mg 2.94-3.18, 4 Li 2.96-3.15
Li  0.5351  0.1459  0.7619  1 Tl 2.85, 4 Mg 2.94-3.18, 4 Li 2.96-3.15
Li  0.5985  0.5985  0.8962  2 Tl 2.84, 5 Li 2.92-3.09, 3 Mg 3.04-3.07
Li  0.6707  0.0912  0.3448  1 Tl 2.90, 5 Li 2.92-3.15, 4 Mg 2.98-3.08
Li  0.8541  0.4649  0.2381  1 Tl 2.85, 4 Mg 2.94-3.18, 4 Li 2.96-3.15
Li  0.9088  0.3293  0.6552  1 Tl 2.90, 5 Li 2.92-3.15, 4 Mg 2.98-3.08
Li  0.9500  0.9500  0.6818  2 Tl 2.87, 7 Li 2.87-3.04, 2 Mg 3.00
Mg  0.1878  0.1878  0.9835  8 Li 2.99-3.09, 2 Tl 3.12, 1 Mg 3.30
Mg  0.2584  0.2584  0.4423  10 Li 2.94-3.18
Mg  0.5000  0.5000  0.5000  10 Li 3.04-3.28, 2 Mg 3.36
Mg  0.7416  0.7416  0.5577  10 Li 2.94-3.18
Mg  0.8122  0.8122  0.0165  8 Li 2.99-3.09, 2 Tl 3.12, 1 Mg 3.30
Tl  0.2098  0.7902  0.0000  8 Li 2.84-2.90, 2 Mg 3.12
Tl  0.7902  0.2098  0.0000  8 Li 2.84-2.90, 2 Mg 3.12

Summary:
DOS at the Fermi energy: 8.725 states/eV/f.u.
Total magnetization: 0.0 μB/cell
Energy relative to the lowest polymorph listed for this composition: 27 meV per atom
Formation enthalpy at 0 K: -0.06 eV/atom
Crystal system: monoclinic
Total DFT energy (no corrections): -36.9 eV/cell